Here is TaB2F after structural relaxation from Alexandria via LeMat-Bulk. Energies are from PBE.

```
TaB2F
1.0
0.0000 2.7954 2.7954
2.7954 0.0000 2.7954
2.7954 2.7954 0.0000
F B Ta
1 2 1
Cartesian
0.0000 0.0000 0.0000
1.3977 1.3977 1.3977
4.1931 4.1931 4.1931
2.7954 2.7954 2.7954
```

Computed properties:
V in Å³/cell: 43.7
Size of the total moment in μB per formula unit: 0.0
Excess energy over the best structure of this formula in the dataset in eV per formula unit: 0.64